Compound: K3Rb2WO6
Source: Alexandria
Functional: PBE+U
Structure: relaxed

Summary:
M_tot ... 1.07 μB/f.u.
Electronic total energy ... -5.1633 eV/atom
Mass density ... 4.1 g/cm³

Unit cell a=6.718 b=6.718 c=6.382 alpha=100.67 beta=100.67 gamma=119.85
Element x y z (fractional)
K 0.000 0.000 0.000
K 0.344 0.656 0.000
K 0.656 0.344 0.000
Rb 0.168 0.832 0.500
Rb 0.832 0.168 0.500
W 0.500 0.500 0.500
O 0.196 0.435 0.301
O 0.323 0.323 0.685
O 0.435 0.196 0.301
O 0.565 0.804 0.699
O 0.677 0.677 0.315
O 0.804 0.565 0.699